No. 1
The following is a PBE calculation of a relaxed structure of LiHoAgCl5, from the Alexandria database.

a b c (Å): 7.349 7.349 9.781
angles (deg): 101.17 101.17 118.47
Element x y z (fractional)
Li 0.217 0.783 0.750
Li 0.783 0.217 0.250
Ho 0.500 0.500 0.000
Ho 0.500 0.500 0.500
Ag 0.070 0.930 0.250
Ag 0.930 0.070 0.750
Cl 0.073 0.256 0.446
Cl 0.153 0.495 0.857
Cl 0.256 0.073 0.946
Cl 0.418 0.582 0.250
Cl 0.495 0.153 0.357
Cl 0.505 0.847 0.643
Cl 0.582 0.418 0.750
Cl 0.744 0.927 0.054
Cl 0.847 0.505 0.143
Cl 0.927 0.744 0.554

- ΔE_f (raw): -1.6869 eV per atom
- Crystal system: monoclinic

No. 2
The following is a PBE calculation of a relaxed structure of CaMg2Tc, from the Alexandria database.

a b c (Å): 4.418 4.418 4.357
angles (deg): 90.00 90.00 90.00
Element x y z (fractional)
Ca 0.000 0.000 0.000
Mg 0.000 0.500 0.500
Mg 0.500 0.000 0.500
Tc 0.500 0.500 0.000

- Crystal system: tetragonal
- Energy above the most stable polymorph in this dataset: 0.126 eV/atom

No. 3
The following is a PBE calculation of a relaxed structure of Th2Zn3Co4, from the Alexandria database.

a b c (Å): 8.502 8.502 6.691
angles (deg): 90.00 90.00 143.14
Element x y z (fractional)
Th 0.107 0.893 0.921
Th 0.393 0.607 0.421
Th 0.607 0.393 0.579
Th 0.893 0.107 0.079
Zn 0.000 0.000 0.500
Zn 0.016 0.484 0.750
Zn 0.484 0.016 0.250
Zn 0.500 0.500 0.000
Zn 0.516 0.984 0.750
Zn 0.984 0.516 0.250
Co 0.160 0.840 0.517
Co 0.172 0.328 0.750
Co 0.328 0.172 0.250
Co 0.340 0.660 0.017
Co 0.660 0.340 0.983
Co 0.672 0.828 0.750
Co 0.828 0.672 0.250
Co 0.840 0.160 0.483

- Crystal system: orthorhombic
- Total DFT energy (no corrections): -98.5 eV per cell

No. 4
The following is a PBE calculation of a relaxed structure of Er3Ag3PdO8, from the Alexandria database.

a b c (Å): 6.709 6.709 6.933
angles (deg): 119.08 119.08 60.02
Element x y z (fractional)
Er 0.000 0.000 0.000
Er 0.000 0.500 0.000
Er 0.500 0.000 0.000
Ag 0.000 0.500 0.500
Ag 0.500 0.000 0.500
Ag 0.500 0.500 0.500
Pd 0.500 0.500 0.000
O 0.227 0.227 0.181
O 0.258 0.716 0.190
O 0.284 0.284 0.810
O 0.284 0.742 0.810
O 0.716 0.258 0.190
O 0.716 0.716 0.190
O 0.742 0.284 0.810
O 0.773 0.773 0.819

- ΔE_f (raw): -1.7828 eV per atom
- Crystal system: monoclinic

No. 5
The following is a PBE calculation of a relaxed structure of ScBeAl2Pd4, from the Alexandria database.

a b c (Å): 7.625 7.625 7.625
angles (deg): 33.22 33.22 33.22
Element x y z (fractional)
Sc 0.000 0.000 0.000
Be 0.500 0.500 0.500
Al 0.250 0.250 0.250
Al 0.750 0.750 0.750
Pd 0.130 0.130 0.130
Pd 0.392 0.392 0.392
Pd 0.608 0.608 0.608
Pd 0.870 0.870 0.870

- Crystal system: trigonal
- Total DFT energy (no corrections): -44.7 eV per cell

No. 6
The following is a PBE calculation of a relaxed structure of Li3Sm3SnS8, from the Alexandria database.

a b c (Å): 7.692 7.692 7.692
angles (deg): 62.22 62.22 62.22
Element x y z (fractional)
Li 0.000 0.500 0.500
Li 0.500 0.000 0.500
Li 0.500 0.500 0.000
Sm 0.000 0.000 0.500
Sm 0.000 0.500 0.000
Sm 0.500 0.000 0.000
Sn 0.500 0.500 0.500
S 0.251 0.251 0.251
S 0.264 0.264 0.727
S 0.264 0.727 0.264
S 0.273 0.736 0.736
S 0.727 0.264 0.264
S 0.736 0.273 0.736
S 0.736 0.736 0.273
S 0.749 0.749 0.749

- ΔE_f (raw): -1.5043 eV per atom
- Crystal system: trigonal

| no. | total moment (μB/atom) |
| --- | --- |
| 1 | 0.000 |
| 2 | 0.227 |
| 3 | 0.000 |
| 4 | 0.000 |
| 5 | 0.000 |
| 6 | 0.000 |